Entry from Alexandria via LeMat-Bulk: a relaxed structure of RbW3O (PBE+U).

Results
As for the total DFT energy (no corrections): -3.57 eV per atom. Its symmetry is Pm-3m, No. 221.

The structure in POSCAR format:
```
RbW3O
1.0
4.500 0.000 0.000
0.000 4.500 0.000
0.000 0.000 4.500
Rb W O
1 3 1
direct
0.000 0.000 0.000
0.000 0.500 0.500
0.500 0.000 0.500
0.500 0.500 0.000
0.500 0.500 0.500
```